{
  "formula": "Sm2Y13",
  "functional": "PBE-GGA",
  "state": "optimized geometry",
  "cell": [[6.635, -0.229, 0.506], [-1.164, 8.691, 0.518], [0.183, -3.746, 8.260]],
  "species": ["Sm", "Sm", "Y", "Y", "Y", "Y", "Y", "Y", "Y", "Y", "Y", "Y", "Y", "Y", "Y"],
  "frac_coords": [[0.801, 0.804, 0.603], [0.199, 0.196, 0.397], [0.763, 0.576, 0.025], [0.237, 0.424, 0.975], [0.000, 0.000, 0.000], [0.334, 0.001, 0.668], [0.666, 0.999, 0.332], [0.095, 0.576, 0.692], [0.905, 0.424, 0.308], [0.431, 0.580, 0.360], [0.569, 0.420, 0.640], [0.467, 0.803, 0.934], [0.533, 0.197, 0.066], [0.866, 0.194, 0.733], [0.134, 0.806, 0.267]]
}

***

{
  "formula": "Sm2Y3",
  "functional": "PBE-GGA",
  "state": "optimized geometry",
  "cell": [[6.342, 0.000, 0.000], [3.171, 6.004, 0.440], [3.171, 2.143, 8.905]],
  "species": ["Sm", "Sm", "Sm", "Sm", "Y", "Y", "Y", "Y", "Y", "Y"],
  "frac_coords": [[0.767, 0.751, 0.050], [0.568, 0.749, 0.450], [0.432, 0.251, 0.550], [0.233, 0.249, 0.950], [0.366, 0.749, 0.850], [0.964, 0.751, 0.650], [0.833, 0.250, 0.750], [0.167, 0.750, 0.250], [0.036, 0.249, 0.350], [0.634, 0.251, 0.150]]
}

***

{
  "formula": "Sm5Y3",
  "functional": "PBE-GGA",
  "state": "optimized geometry",
  "cell": [[-2.824, 1.826, -1.303], [-2.111, -2.872, 0.549], [-4.302, 6.750, 18.783]],
  "species": ["Sm", "Sm", "Sm", "Sm", "Sm", "Y", "Y", "Y"],
  "frac_coords": [[0.000, 0.000, 0.250], [0.500, 0.500, 0.625], [0.500, 0.500, 0.375], [0.000, 0.000, 0.750], [0.000, 0.000, 0.000], [0.500, 0.500, 0.124], [0.500, 0.500, 0.876], [0.000, 0.000, 0.500]]
}

***

{
  "formula": "Sm6YZn2",
  "functional": "PBE-GGA",
  "state": "optimized geometry",
  "cell": [[3.643, 0.000, 0.578], [1.606, 6.196, 1.642], [0.018, -0.180, 11.648]],
  "species": ["Sm", "Sm", "Sm", "Sm", "Sm", "Sm", "Y", "Zn", "Zn"],
  "frac_coords": [[0.690, 0.495, 0.125], [0.310, 0.505, 0.875], [0.312, 0.785, 0.591], [0.974, 0.725, 0.327], [0.026, 0.275, 0.673], [0.688, 0.215, 0.409], [0.000, 0.000, 0.000], [0.355, 0.092, 0.199], [0.645, 0.908, 0.801]]
}

***

{
  "formula": "SmY2Zn4",
  "functional": "PBE-GGA",
  "state": "optimized geometry",
  "cell": [[5.785, 0.007, -2.032], [-2.882, 5.001, -2.068], [0.004, -0.007, 6.132]],
  "species": ["Sm", "Y", "Y", "Zn", "Zn", "Zn", "Zn"],
  "frac_coords": [[0.000, 0.000, 0.000], [0.500, 0.500, 0.000], [0.500, 0.000, 0.500], [0.500, 0.000, 0.000], [0.500, 0.500, 0.500], [0.000, 0.000, 0.500], [0.000, 0.500, 0.000]]
}

***

{
  "formula": "Sm2Y2Zn",
  "functional": "PBE-GGA",
  "state": "optimized geometry",
  "de_polymorph_ev_per_atom": 0.097,
  "cell": [[8.230, 0.000, 0.541], [4.115, 4.837, 0.271], [4.150, 0.000, 7.651]],
  "species": ["Sm", "Sm", "Sm", "Sm", "Y", "Y", "Y", "Y", "Zn", "Zn"],
  "frac_coords": [[0.751, 0.000, 0.413], [0.603, 0.000, 0.125], [0.397, 0.000, 0.875], [0.249, 0.000, 0.587], [0.645, 0.379, 0.736], [0.355, 0.621, 0.264], [0.024, 0.621, 0.736], [0.976, 0.379, 0.264], [0.142, 0.716, 0.000], [0.858, 0.284, 0.000]]
}

***

{
  "formula": "Sm3YZn",
  "functional": "PBE-GGA",
  "state": "optimized geometry",
  "cell": [[7.429, -0.076, -0.265], [-2.106, 7.125, 0.265], [-3.167, -3.143, 6.095]],
  "species": ["Sm", "Sm", "Sm", "Sm", "Sm", "Sm", "Y", "Y", "Zn", "Zn"],
  "frac_coords": [[0.837, 0.024, 0.248], [0.224, 0.411, 0.248], [0.776, 0.589, 0.752], [0.730, 0.450, 0.180], [0.163, 0.976, 0.752], [0.270, 0.550, 0.820], [0.701, 0.069, 0.770], [0.299, 0.931, 0.230], [0.633, 0.762, 0.395], [0.367, 0.238, 0.605]]
}

***

{
  "formula": "Sm3YZn2",
  "functional": "PBE-GGA",
  "state": "optimized geometry",
  "de_polymorph_ev_per_atom": 0.000,
  "cell": [[5.131, 0.000, 0.000], [0.000, 6.806, 0.000], [0.000, 0.000, 9.274]],
  "species": ["Sm", "Sm", "Sm", "Sm", "Sm", "Sm", "Y", "Y", "Zn", "Zn", "Zn", "Zn"],
  "frac_coords": [[0.000, 0.489, 0.942], [0.000, 0.989, 0.058], [0.500, 0.668, 0.174], [0.500, 0.168, 0.826], [0.000, 0.330, 0.330], [0.000, 0.830, 0.670], [0.500, 0.514, 0.556], [0.500, 0.014, 0.444], [0.500, 0.723, 0.847], [0.500, 0.223, 0.153], [0.000, 0.278, 0.650], [0.000, 0.778, 0.350]]
}

***

no.,formation energy (eV/atom)
1,0.04
2,0.01
3,0.02
4,-0.14
5,-0.16
6,-0.04
7,0.06
8,-0.22